A relaxed MnC3O crystal. Source: the Alexandria database, functional GGA+U.

Crystal system: cubic
Final energy (eV/atom): -5.316
Fermi-level density of states (states/eV/cell): 3.6
Distance to the lowest polymorph of the same formula (meV per atom): 0

CIF file:
```
data_MnC3O
_symmetry_space_group_name_H-M 'P m -3 m'
_symmetry_Int_Tables_number 221
_symmetry_space_group_name_Hall '-P 4 2 3'
_cell_length_a 3.719
_cell_length_b 3.719
_cell_length_c 3.719
_cell_angle_alpha 90.00
_cell_angle_beta 90.00
_cell_angle_gamma 90.00
loop_
_atom_site_label
_atom_site_type_symbol
_atom_site_fract_x
_atom_site_fract_y
_atom_site_fract_z
Mn1 Mn 0.000 0.000 0.000
C1 C 0.000 0.000 0.500
O1 O 0.500 0.500 0.500
```